Record 1
This record from the Alexandria database describes Ca2ZrPt2 after structural relaxation. The functional is PBE.

Structure (CIF):
```
data_Ca2ZrPt2
_chemical_formula_sum 'Ca4 Zr2 Pt4'
_space_group_name_H-M_alt 'P 4/m b m'
_space_group_IT_number 127
_space_group_name_Hall '-P 4 2ab'
_cell_length_a 7.117
_cell_length_b 7.117
_cell_length_c 4.605
_cell_angle_alpha 90.00
_cell_angle_beta 90.00
_cell_angle_gamma 90.00
loop_
_atom_site_label
_atom_site_type_symbol
_atom_site_fract_x
_atom_site_fract_y
_atom_site_fract_z
Ca1 Ca 0.170 0.330 0.000
Zr1 Zr 0.000 0.000 0.500
Pt1 Pt 0.136 0.636 0.500
```

Summary:
Calculated total energy   -28.425 eV per formula unit
Calculated volume   233.3 Å³/cell
ΔH_f (0 K)   -0.758 eV per atom

---

Record 2
This record from the Alexandria database describes CaZrPt2 after structural relaxation. The functional is PBE.

Structure (CIF):
```
data_CaZrPt2
_chemical_formula_sum 'Ca1 Zr1 Pt2'
_space_group_name_H-M_alt 'P 4 m m'
_space_group_IT_number 99
_cell_length_a 3.886
_cell_length_b 3.886
_cell_length_c 5.731
_cell_angle_alpha 90.00
_cell_angle_beta 90.00
_cell_angle_gamma 90.00
loop_
_space_group_symop_operation_xyz
'x,y,z'
'-y,x,z'
'-x,-y,z'
'y,-x,z'
'-x,y,z'
'y,x,z'
'x,-y,z'
'-y,-x,z'
loop_
_atom_site_label
_atom_site_type_symbol
_atom_site_fract_x
_atom_site_fract_y
_atom_site_fract_z
Ca1 Ca 0.000 0.000 0.000
Zr1 Zr 0.500 0.500 0.611
Pt1 Pt 0.000 0.000 0.499
Pt2 Pt 0.500 0.500 0.096
```

Summary:
Calculated total energy   -25.317 eV per formula unit
Calculated volume   86.6 Å³/cell
ΔH_f (0 K)   -0.671 eV per atom

---

Record 3
This record from the Alexandria database describes CaZrPt2 after structural relaxation. The functional is PBE.

Structure (CIF):
```
data_CaZrPt2
_chemical_formula_sum 'Ca2 Zr2 Pt4'
_space_group_name_H-M_alt 'C 1 2/m 1'
_space_group_IT_number 12
_cell_length_a 6.805
_cell_length_b 3.920
_cell_length_c 7.261
_cell_angle_alpha 90.00
_cell_angle_beta 108.20
_cell_angle_gamma 90.00
loop_
_space_group_symop_operation_xyz
'x,y,z'
'-x,-y,-z'
'-x,y,-z'
'x,-y,z'
'x+1/2,y+1/2,z'
'-x+1/2,-y+1/2,-z'
'-x+1/2,y+1/2,-z'
'x+1/2,-y+1/2,z'
loop_
_atom_site_label
_atom_site_type_symbol
_atom_site_fract_x
_atom_site_fract_y
_atom_site_fract_z
Ca1 Ca 0.000 0.000 0.000
Zr1 Zr 0.000 0.500 0.500
Pt1 Pt 0.239 0.000 0.717
```

Summary:
Calculated total energy   -25.782 eV per formula unit
Calculated volume   184.0 Å³/cell
ΔH_f (0 K)   -0.788 eV per atom

---

Record 4
This record from the Alexandria database describes CaZrPt2 after structural relaxation. The functional is PBE.

Structure (CIF):
```
data_CaZrPt2
_chemical_formula_sum 'Ca1 Zr1 Pt2'
_space_group_name_H-M_alt 'P 4/m m m'
_space_group_IT_number 123
_space_group_name_Hall '-P 4 2'
_cell_length_a 3.375
_cell_length_b 3.375
_cell_length_c 7.262
_cell_angle_alpha 90.00
_cell_angle_beta 90.00
_cell_angle_gamma 90.00
loop_
_atom_site_label
_atom_site_type_symbol
_atom_site_fract_x
_atom_site_fract_y
_atom_site_fract_z
Ca1 Ca 0.000 0.000 0.000
Zr1 Zr 0.000 0.000 0.500
Pt1 Pt 0.500 0.500 0.292
```

Summary:
Calculated total energy   -26.563 eV per formula unit
Calculated volume   82.7 Å³/cell
ΔH_f (0 K)   -0.983 eV per atom

---

Record 5
This record from the Alexandria database describes CaZrPt2 after structural relaxation. The functional is PBE.

Structure (CIF):
```
data_CaZrPt2
_chemical_formula_sum 'Ca2 Zr2 Pt4'
_space_group_name_H-M_alt 'C 1 m 1'
_space_group_IT_number 8
_cell_length_a 10.610
_cell_length_b 2.957
_cell_length_c 5.083
_cell_angle_alpha 90.00
_cell_angle_beta 100.88
_cell_angle_gamma 90.00
loop_
_space_group_symop_operation_xyz
'x,y,z'
'x,-y,z'
'x+1/2,y+1/2,z'
'x+1/2,-y+1/2,z'
loop_
_atom_site_label
_atom_site_type_symbol
_atom_site_fract_x
_atom_site_fract_y
_atom_site_fract_z
Ca1 Ca 0.000 0.000 0.000
Zr1 Zr 0.209 0.000 0.611
Pt1 Pt 0.250 0.500 0.129
Pt2 Pt 0.466 0.000 0.488
```

Summary:
Calculated total energy   -25.671 eV per formula unit
Calculated volume   156.6 Å³/cell
ΔH_f (0 K)   -0.760 eV per atom

---

Record 6
This record from the Alexandria database describes CaZrPt2 after structural relaxation. The functional is PBE.

Structure (CIF):
```
data_CaZrPt2
_chemical_formula_sum 'Ca4 Zr4 Pt8'
_space_group_name_H-M_alt 'F -4 3 m'
_space_group_IT_number 216
_space_group_name_Hall 'F -4 2 3'
_cell_length_a 6.685
_cell_length_b 6.685
_cell_length_c 6.685
_cell_angle_alpha 90.00
_cell_angle_beta 90.00
_cell_angle_gamma 90.00
loop_
_atom_site_label
_atom_site_type_symbol
_atom_site_fract_x
_atom_site_fract_y
_atom_site_fract_z
Ca1 Ca 0.000 0.000 0.000
Zr1 Zr 0.250 0.250 0.750
Pt1 Pt 0.000 0.000 0.500
Pt2 Pt 0.250 0.250 0.250
```

Summary:
Calculated total energy   -24.617 eV per formula unit
Calculated volume   298.7 Å³/cell
ΔH_f (0 K)   -0.496 eV per atom